Record 1
The following is a PBE calculation of a geometry-optimized RbAlTlAu2 structure, from Alexandria via LeMat-Bulk.

a = 5.1480 Å, b = 5.4344 Å, c = 5.1480 Å
α = 90.00°, β = 90.00°, γ = 90.00°
Fractional coordinates of all 5 atoms:
Au  0.0000  0.0000  0.5000
Au  0.5000  0.0000  0.0000
Al  0.0000  0.0000  0.0000
Rb  0.5000  0.5000  0.5000
Tl  0.0000  0.5000  0.0000

Computed properties:
SG: P4/mmm

---

Record 2
The following is a PBE calculation of a geometry-optimized AlReAu2 structure, from Alexandria via LeMat-Bulk.

a = 5.0176 Å, b = 5.0176 Å, c = 2.8174 Å
α = 90.00°, β = 90.00°, γ = 113.09°
Fractional coordinates of all 4 atoms:
Re  0.5000  0.0000  0.5000
Au  0.5000  0.5000  0.0000
Au  0.0000  0.0000  0.0000
Al  0.0000  0.5000  0.5000

Computed properties:
SG: Cmmm

---

Record 3
The following is a PBE calculation of a geometry-optimized AlReAu2 structure, from Alexandria via LeMat-Bulk.

a = 9.1495 Å, b = 9.1495 Å, c = 9.1495 Å
α = 18.13°, β = 18.13°, γ = 18.13°
Fractional coordinates of all 4 atoms:
Au  0.0037  0.0037  0.0037
Au  0.4963  0.4963  0.4963
Re  0.2500  0.2500  0.2500
Al  0.7500  0.7500  0.7500

Computed properties:
SG: R-3m

---

We obtain energy of formation values of -94; 195; 200 meV per atom for the records listed above, in that order.
We obtain E values of -2.82; -5.49; -5.49 eV/atom for the records listed above, in that order.